Entry 1:
{"formula": "NdHoIn2", "functional": "PBE", "state": "optimized geometry", "magnetic_moment_mub_per_fu": 0.00, "formation_enthalpy_0k_ev_per_atom": -0.48, "e_tot_ev_per_atom": -4.19, "dos_at_fermi_per_ev_cell": 2.2, "lattice": [[3.8092, 0.0000, 0.0000], [0.0000, 3.8092, 0.0000], [0.0000, 0.0000, 7.6187]], "species": ["In", "In", "Nd", "Ho"], "fractional_positions": [[0.0000, 0.0000, 0.7636], [0.0000, 0.0000, 0.2364], [0.5000, 0.5000, 0.5000], [0.5000, 0.5000, 0.0000]]}


Entry 2:
{"formula": "Nd2Ho5In", "functional": "PBE", "state": "optimized geometry", "magnetic_moment_mub_per_fu": 0.02, "formation_enthalpy_0k_ev_per_atom": -0.10, "e_tot_ev_per_atom": -4.50, "dos_at_fermi_per_ev_cell": 10.4, "lattice": [[-1.4935, -3.8042, 2.7219], [0.2026, -2.9072, -3.9520], [10.3188, 1.1001, 2.7704]], "species": ["Ho", "Ho", "Ho", "Ho", "Ho", "Nd", "Nd", "In"], "fractional_positions": [[0.1188, 0.6188, 0.2375], [0.3812, 0.8812, 0.7625], [0.5000, 0.5000, 0.0000], [0.6188, 0.1188, 0.2375], [0.8812, 0.3812, 0.7625], [0.2559, 0.2559, 0.5118], [0.7441, 0.7441, 0.4882], [0.0000, 0.0000, 0.0000]]}


Entry 3:
{"formula": "Nd3HoIn3", "functional": "PBE", "state": "optimized geometry", "magnetic_moment_mub_per_fu": 0.00, "formation_enthalpy_0k_ev_per_atom": -0.30, "e_tot_ev_per_atom": -4.17, "dos_at_fermi_per_ev_cell": 13.0, "lattice": [[-1.9997, -3.8485, 2.9590], [8.5198, -1.1945, 4.2041], [-6.3456, 6.1423, 3.7004]], "species": ["Ho", "Ho", "In", "In", "In", "In", "In", "In", "Nd", "Nd", "Nd", "Nd", "Nd", "Nd"], "fractional_positions": [[0.2500, 0.6667, 0.3333], [0.7500, 0.3333, 0.6667], [0.7500, 0.4603, 0.0747], [0.7500, 0.6145, 0.5397], [0.7500, 0.9253, 0.3855], [0.2500, 0.5397, 0.9253], [0.2500, 0.3855, 0.4603], [0.2500, 0.0747, 0.6145], [0.2500, 0.2399, 0.0029], [0.7500, 0.2370, 0.2399], [0.7500, 0.7601, 0.9971], [0.7500, 0.0029, 0.7630], [0.2500, 0.9971, 0.2370], [0.2500, 0.7630, 0.7601]]}


Entry 4:
{"formula": "Nd5HoIn6", "functional": "PBE", "state": "optimized geometry", "magnetic_moment_mub_per_fu": 0.00, "formation_enthalpy_0k_ev_per_atom": -0.49, "e_tot_ev_per_atom": -4.22, "dos_at_fermi_per_ev_cell": 5.9, "lattice": [[-2.9269, -2.1244, -4.0822], [0.5315, -8.9122, -3.0440], [-5.5712, -6.6179, 3.7880]], "species": ["Nd", "Nd", "Nd", "Nd", "Nd", "In", "In", "In", "In", "In", "In", "Ho"], "fractional_positions": [[0.5000, 0.5000, 0.0000], [0.5000, 0.8286, 0.3429], [0.0000, 0.6646, 0.6708], [0.0000, 0.3354, 0.3292], [0.5000, 0.1714, 0.6571], [0.7566, 0.4067, 0.6732], [0.2434, 0.9200, 0.6732], [0.2434, 0.5933, 0.3268], [0.7566, 0.0800, 0.3268], [0.7372, 0.7627, 0.0000], [0.2628, 0.2373, 0.0000], [0.0000, 0.0000, 0.0000]]}